(1)
! K2LiHg12, relaxed, DFT GGA-PBE; values from VASP
! - M_tot: 0.000 μB per formula unit
! - Density: 9.172 Mg/m³
! - D(E_F): 9.84 states/eV/cell
! - E_form: -2.33 eV/f.u.
! - Final energy: -0.6708 eV/atom
&SYSTEM
  ibrav = 0, nat = 30, ntyp = 3
/
ATOMIC_SPECIES
K 39.10 K.upf
Li 6.94 Li.upf
Hg 200.59 Hg.upf
CELL_PARAMETERS angstrom
6.9797 0.0000 0.0000
0.0000 6.9797 0.0000
0.0000 0.0000 18.5245
ATOMIC_POSITIONS crystal
K 0.2500 0.7500 0.2485
K 0.2500 0.7500 0.7515
K 0.7500 0.2500 0.2485
K 0.7500 0.2500 0.7515
Li 0.2500 0.7500 0.0000
Li 0.7500 0.2500 0.0000
Hg 0.0008 0.5008 0.0822
Hg 0.0008 0.9992 0.9178
Hg 0.0910 0.5910 0.5673
Hg 0.0910 0.9090 0.4327
Hg 0.2500 0.2500 0.1837
Hg 0.2500 0.2500 0.3461
Hg 0.2500 0.2500 0.6539
Hg 0.2500 0.2500 0.8163
Hg 0.4090 0.5910 0.4327
Hg 0.4090 0.9090 0.5673
Hg 0.4992 0.5008 0.9178
Hg 0.4992 0.9992 0.0822
Hg 0.5008 0.0008 0.9178
Hg 0.5008 0.4992 0.0822
Hg 0.5910 0.0910 0.4327
Hg 0.5910 0.4090 0.5673
Hg 0.7500 0.7500 0.1837
Hg 0.7500 0.7500 0.3461
Hg 0.7500 0.7500 0.6539
Hg 0.7500 0.7500 0.8163
Hg 0.9090 0.0910 0.5673
Hg 0.9090 0.4090 0.4327
Hg 0.9992 0.0008 0.0822
Hg 0.9992 0.4992 0.9178

=====

(2)
! KLi4Hg5, relaxed, DFT GGA-PBE; values from VASP
! - M_tot: 0.000 μB per formula unit
! - Density: 8.250 Mg/m³
! - D(E_F): 3.41 states/eV/cell
! - E_form: -3.23 eV/f.u.
! - Final energy: -1.3490 eV/atom
&SYSTEM
  ibrav = 0, nat = 10, ntyp = 3
/
ATOMIC_SPECIES
K 39.10 K.upf
Li 6.94 Li.upf
Hg 200.59 Hg.upf
CELL_PARAMETERS angstrom
3.4693 0.0000 0.0000
0.0000 3.4693 0.0000
0.0000 0.0000 17.8905
ATOMIC_POSITIONS crystal
K 0.0000 0.0000 0.0000
Li 0.0000 0.0000 0.2353
Li 0.0000 0.0000 0.4111
Li 0.0000 0.0000 0.5889
Li 0.0000 0.0000 0.7647
Hg 0.5000 0.5000 0.1466
Hg 0.5000 0.5000 0.3220
Hg 0.5000 0.5000 0.5000
Hg 0.5000 0.5000 0.6780
Hg 0.5000 0.5000 0.8534

=====

(3)
! K2LiHg2, relaxed, DFT GGA-PBE; values from VASP
! - Relative energy among the computed polymorphs: 0.041 eV per atom
! - M_tot: 0.000 μB per formula unit
! - Density: 4.661 Mg/m³
! - D(E_F): 5.62 states/eV/cell
! - E_form: -0.83 eV/f.u.
! - Final energy: -1.1090 eV/atom
&SYSTEM
  ibrav = 0, nat = 10, ntyp = 3
/
ATOMIC_SPECIES
K 39.10 K.upf
Li 6.94 Li.upf
Hg 200.59 Hg.upf
CELL_PARAMETERS angstrom
7.9377 0.0000 0.0000
0.0000 7.9377 0.0000
0.0000 0.0000 5.4998
ATOMIC_POSITIONS crystal
K 0.1731 0.3269 0.0000
K 0.3269 0.8269 0.0000
K 0.6731 0.1731 0.0000
K 0.8269 0.6731 0.0000
Li 0.0000 0.0000 0.5000
Li 0.5000 0.5000 0.5000
Hg 0.1378 0.6378 0.5000
Hg 0.3622 0.1378 0.5000
Hg 0.6378 0.8622 0.5000
Hg 0.8622 0.3622 0.5000

=====

(4)
! K2LiHg, relaxed, DFT GGA-PBE; values from VASP
! - M_tot: 0.000 μB per formula unit
! - Density: 3.219 Mg/m³
! - D(E_F): 3.39 states/eV/cell
! - E_form: -0.03 eV/f.u.
! - Final energy: -1.1103 eV/atom
&SYSTEM
  ibrav = 0, nat = 4, ntyp = 3
/
ATOMIC_SPECIES
K 39.10 K.upf
Li 6.94 Li.upf
Hg 200.59 Hg.upf
CELL_PARAMETERS angstrom
0.0000 4.1924 4.1924
4.1924 0.0000 4.1924
4.1924 4.1924 0.0000
ATOMIC_POSITIONS crystal
K 0.0000 0.0000 0.0000
K 0.2500 0.2500 0.2500
Li 0.5000 0.5000 0.5000
Hg 0.7500 0.7500 0.7500

=====

(5)
! KLiHg4, relaxed, DFT GGA-PBE; values from VASP
! - Relative energy among the computed polymorphs: 0.091 eV per atom
! - M_tot: 0.000 μB per formula unit
! - Density: 8.400 Mg/m³
! - D(E_F): 2.03 states/eV/cell
! - E_form: -0.82 eV/f.u.
! - Final energy: -0.8390 eV/atom
&SYSTEM
  ibrav = 0, nat = 6, ntyp = 3
/
ATOMIC_SPECIES
K 39.10 K.upf
Li 6.94 Li.upf
Hg 200.59 Hg.upf
CELL_PARAMETERS angstrom
0.0000 4.3771 4.3771
4.3771 0.0000 4.3771
4.3771 4.3771 0.0000
ATOMIC_POSITIONS crystal
K 0.0000 0.0000 0.0000
Li 0.7500 0.7500 0.7500
Hg 0.3756 0.3756 0.3756
Hg 0.3756 0.3756 0.8731
Hg 0.3756 0.8731 0.3756
Hg 0.8731 0.3756 0.3756

=====

(6)
! K5LiHg4, relaxed, DFT GGA-PBE; values from VASP
! - M_tot: 0.000 μB per formula unit
! - Density: 3.923 Mg/m³
! - D(E_F): 5.40 states/eV/cell
! - E_form: -1.97 eV/f.u.
! - Final energy: -1.0581 eV/atom
&SYSTEM
  ibrav = 0, nat = 10, ntyp = 3
/
ATOMIC_SPECIES
K 39.10 K.upf
Li 6.94 Li.upf
Hg 200.59 Hg.upf
CELL_PARAMETERS angstrom
10.8547 -2.4591 0.0000
10.8547 2.4591 0.0000
-3.4734 0.0000 7.9663
ATOMIC_POSITIONS crystal
K 0.0000 0.0000 0.0000
K 0.3061 0.3061 0.7098
K 0.3537 0.3537 0.2215
K 0.6463 0.6463 0.7785
K 0.6939 0.6939 0.2902
Li 0.0000 0.0000 0.5000
Hg 0.1256 0.1256 0.4587
Hg 0.4683 0.4683 0.6471
Hg 0.5317 0.5317 0.3529
Hg 0.8744 0.8744 0.5413

=====

(7)
! KLiHg3, relaxed, DFT GGA-PBE; values from VASP
! - Relative energy among the computed polymorphs: 0.502 eV per atom
! - M_tot: 0.000 μB per formula unit
! - Density: 4.375 Mg/m³
! - D(E_F): 3.20 states/eV/cell
! - E_form: 1.28 eV/f.u.
! - Final energy: -0.5283 eV/atom
&SYSTEM
  ibrav = 0, nat = 5, ntyp = 3
/
ATOMIC_SPECIES
K 39.10 K.upf
Li 6.94 Li.upf
Hg 200.59 Hg.upf
CELL_PARAMETERS angstrom
6.2648 0.0000 0.0000
0.0000 6.2648 0.0000
0.0000 0.0000 6.2648
ATOMIC_POSITIONS crystal
K 0.0000 0.0000 0.0000
Li 0.5000 0.5000 0.5000
Hg 0.0000 0.0000 0.5000
Hg 0.0000 0.5000 0.0000
Hg 0.5000 0.0000 0.0000

=====

(8)
! KLiHg4, relaxed, DFT GGA-PBE; values from VASP
! - Relative energy among the computed polymorphs: 0.000 eV per atom
! - M_tot: 0.000 μB per formula unit
! - Density: 8.793 Mg/m³
! - D(E_F): 1.89 states/eV/cell
! - E_form: -1.36 eV/f.u.
! - Final energy: -0.9297 eV/atom
&SYSTEM
  ibrav = 0, nat = 6, ntyp = 3
/
ATOMIC_SPECIES
K 39.10 K.upf
Li 6.94 Li.upf
Hg 200.59 Hg.upf
CELL_PARAMETERS angstrom
3.6208 0.0000 0.0000
0.0003 4.0809 0.0000
0.0178 0.0184 10.8424
ATOMIC_POSITIONS crystal
K 0.0000 0.0000 0.0000
Li 0.5000 0.5000 0.5000
Hg 0.0024 0.0026 0.6375
Hg 0.4982 0.4980 0.2085
Hg 0.5018 0.5020 0.7915
Hg 0.9976 0.9974 0.3625

=====

(9)
! K2LiHg2, relaxed, DFT GGA-PBE; values from VASP
! - Relative energy among the computed polymorphs: 0.000 eV per atom
! - M_tot: 0.000 μB per formula unit
! - Density: 4.700 Mg/m³
! - D(E_F): 4.64 states/eV/cell
! - E_form: -1.04 eV/f.u.
! - Final energy: -1.1500 eV/atom
&SYSTEM
  ibrav = 0, nat = 10, ntyp = 3
/
ATOMIC_SPECIES
K 39.10 K.upf
Li 6.94 Li.upf
Hg 200.59 Hg.upf
CELL_PARAMETERS angstrom
6.2514 -2.5715 0.0000
6.2514 2.5715 0.0000
-6.1650 0.0000 10.6880
ATOMIC_POSITIONS crystal
K 0.0894 0.0894 0.3919
K 0.3308 0.3308 0.8225
K 0.6692 0.6692 0.1775
K 0.9106 0.9106 0.6081
Li 0.3420 0.3420 0.1180
Li 0.6580 0.6580 0.8820
Hg 0.0862 0.0862 0.9419
Hg 0.3819 0.3819 0.3748
Hg 0.6181 0.6181 0.6252
Hg 0.9138 0.9138 0.0581

=====

(10)
! K2LiHg2, relaxed, DFT GGA-PBE; values from VASP
! - Relative energy among the computed polymorphs: 0.156 eV per atom
! - M_tot: 0.000 μB per formula unit
! - Density: 4.303 Mg/m³
! - D(E_F): 4.03 states/eV/cell
! - E_form: -0.26 eV/f.u.
! - Final energy: -0.9942 eV/atom
&SYSTEM
  ibrav = 0, nat = 10, ntyp = 3
/
ATOMIC_SPECIES
K 39.10 K.upf
Li 6.94 Li.upf
Hg 200.59 Hg.upf
CELL_PARAMETERS angstrom
10.1482 0.0000 0.0000
0.0000 10.1482 0.0000
0.0000 0.0000 3.6447
ATOMIC_POSITIONS crystal
K 0.1835 0.3165 0.0000
K 0.3165 0.8165 0.0000
K 0.6835 0.1835 0.0000
K 0.8165 0.6835 0.0000
Li 0.0000 0.0000 0.0000
Li 0.5000 0.5000 0.0000
Hg 0.1081 0.6081 0.5000
Hg 0.3919 0.1081 0.5000
Hg 0.6081 0.8919 0.5000
Hg 0.8919 0.3919 0.5000

=====

(11)
! K2LiHg, relaxed, DFT GGA-PBE; values from VASP
! - M_tot: 0.000 μB per formula unit
! - Density: 3.128 Mg/m³
! - D(E_F): 2.33 states/eV/cell
! - E_form: -0.06 eV/f.u.
! - Final energy: -1.1168 eV/atom
&SYSTEM
  ibrav = 0, nat = 4, ntyp = 3
/
ATOMIC_SPECIES
K 39.10 K.upf
Li 6.94 Li.upf
Hg 200.59 Hg.upf
CELL_PARAMETERS angstrom
-2.6918 2.6918 5.2329
2.6918 -2.6918 5.2329
2.6918 2.6918 -5.2329
ATOMIC_POSITIONS crystal
K 0.0000 0.0000 0.0000
K 0.7500 0.2500 0.5000
Li 0.2500 0.7500 0.5000
Hg 0.5000 0.5000 0.0000

=====

(12)
! K2LiHg, relaxed, DFT GGA-PBE; values from VASP
! - M_tot: 0.000 μB per formula unit
! - Density: 2.838 Mg/m³
! - D(E_F): 4.81 states/eV/cell
! - E_form: 0.20 eV/f.u.
! - Final energy: -1.0535 eV/atom
&SYSTEM
  ibrav = 0, nat = 8, ntyp = 3
/
ATOMIC_SPECIES
K 39.10 K.upf
Li 6.94 Li.upf
Hg 200.59 Hg.upf
CELL_PARAMETERS angstrom
-4.9099 4.9099 3.4676
4.9099 -4.9099 3.4676
4.9099 4.9099 -3.4676
ATOMIC_POSITIONS crystal
K 0.1029 0.6250 0.9779
K 0.3750 0.3529 0.4779
K 0.6471 0.1250 0.0221
K 0.8750 0.8971 0.5221
Li 0.2500 0.7500 0.5000
Li 0.5000 0.5000 0.0000
Hg 0.0000 0.0000 0.0000
Hg 0.7500 0.2500 0.5000